A relaxed K2CrCl4F2 crystal, computed with PBE+U.

Cell lengths 5.689, 6.511, 6.511 Å; angles 65.14, 77.96, 77.96 degrees
Atoms (fractional coordinates):
Cl 0.690 0.851 0.328
Cl 0.690 0.328 0.851
Cl 0.310 0.149 0.672
Cl 0.310 0.672 0.149
Cr 0.500 0.000 0.000
F 0.243 0.141 0.141
F 0.757 0.859 0.859
K 0.807 0.324 0.324
K 0.193 0.676 0.676

Calculated values
E: -36.62 eV/cell